--- one ---
Nd8Tm3 | PBE-GGA | optimized geometry Values from VASP.

Cell and atoms, written as Quantum ESPRESSO input:
```
&SYSTEM
  ibrav = 0, nat = 11, ntyp = 2
/
ATOMIC_SPECIES
Nd 144.24 Nd.upf
Tm 168.93 Tm.upf
CELL_PARAMETERS angstrom
4.903 2.831 4.631
-4.903 2.831 4.631
0.000 -5.662 4.631
ATOMIC_POSITIONS angstrom
Nd 0.000 0.000 1.529
Nd -2.083 0.309 5.358
Nd 0.773 -1.958 5.358
Nd -1.309 -1.649 8.534
Nd 1.309 1.649 5.358
Nd -0.773 1.958 8.534
Nd 2.083 -0.309 8.534
Nd 0.000 0.000 12.362
Tm -4.903 0.000 6.946
Tm -2.452 1.416 2.315
Tm 2.452 1.416 2.315
```

Results
Its space-group type is No. 148. The value obtained for the mass density is 7.15 g/cm3.

--- two ---
Nd8Tm3 | PBE-GGA | optimized geometry Values from VASP.

Cell and atoms, written as Quantum ESPRESSO input:
```
&SYSTEM
  ibrav = 0, nat = 11, ntyp = 2
/
ATOMIC_SPECIES
Nd 144.24 Nd.upf
Tm 168.93 Tm.upf
CELL_PARAMETERS angstrom
6.055 3.496 3.021
-6.055 3.496 3.021
0.000 -6.992 3.021
ATOMIC_POSITIONS angstrom
Nd -2.995 -1.016 4.331
Nd 0.000 0.000 2.049
Nd -0.618 -3.101 4.733
Nd -2.377 2.086 4.733
Nd 2.377 -2.086 4.331
Nd 0.618 3.101 4.331
Nd 0.000 0.000 7.016
Nd 2.995 1.016 4.733
Tm -6.055 0.000 4.532
Tm -3.028 1.748 1.511
Tm 3.028 1.748 1.511
```

Results
Its space-group type is No. 148. The value obtained for the mass density is 7.19 g/cm3.

Most stable structure - two; separation to the second - 103 meV/atom.

--- one ---
Nd3Tm13 | PBE-GGA | optimized geometry Values from VASP.

Cell and atoms, written as Quantum ESPRESSO input:
```
&SYSTEM
  ibrav = 0, nat = 16, ntyp = 2
/
ATOMIC_SPECIES
Nd 144.24 Nd.upf
Tm 168.93 Tm.upf
CELL_PARAMETERS angstrom
7.202 0.000 0.000
0.000 5.596 6.224
0.000 -5.596 6.224
ATOMIC_POSITIONS angstrom
Nd 0.000 0.000 0.000
Nd 1.819 0.000 9.289
Nd 5.383 0.000 9.289
Tm 0.000 -2.817 8.283
Tm 0.000 0.000 6.172
Tm 0.000 2.817 8.283
Tm 1.803 0.000 3.108
Tm 1.810 -2.761 5.174
Tm 1.810 2.761 5.174
Tm 3.601 0.000 0.006
Tm 3.601 -2.845 8.284
Tm 3.601 0.000 6.172
Tm 3.601 2.845 8.284
Tm 5.393 -2.761 5.174
Tm 5.393 2.761 5.174
Tm 5.400 0.000 3.108
```

Results
Its space-group type is No. 38. The value obtained for the mass density is 8.70 g/cm3.

--- two ---
Nd3Tm13 | PBE-GGA | optimized geometry Values from VASP.

Cell and atoms, written as Quantum ESPRESSO input:
```
&SYSTEM
  ibrav = 0, nat = 16, ntyp = 2
/
ATOMIC_SPECIES
Nd 144.24 Nd.upf
Tm 168.93 Tm.upf
CELL_PARAMETERS angstrom
9.935 0.000 0.000
0.000 4.975 4.994
0.000 -4.975 4.994
ATOMIC_POSITIONS angstrom
Nd 0.000 0.000 0.000
Nd 2.489 0.000 2.531
Nd 7.446 0.000 2.531
Tm 0.000 2.465 7.512
Tm 0.000 -2.465 7.512
Tm 0.000 0.000 5.039
Tm 2.499 -2.480 5.017
Tm 2.507 0.000 7.501
Tm 2.499 2.480 5.017
Tm 4.968 0.000 0.005
Tm 4.968 -2.503 2.523
Tm 4.968 2.503 2.523
Tm 4.968 0.000 5.041
Tm 7.436 -2.480 5.017
Tm 7.428 0.000 7.501
Tm 7.436 2.480 5.017
```

Results
Its space-group type is No. 38. The value obtained for the mass density is 8.84 g/cm3.

Most stable structure - one; separation to the second - 16 meV/atom.

--- one ---
Nd3Tm | PBE-GGA | optimized geometry Values from VASP.

Cell and atoms, written as Quantum ESPRESSO input:
```
&SYSTEM
  ibrav = 0, nat = 4, ntyp = 2
/
ATOMIC_SPECIES
Nd 144.24 Nd.upf
Tm 168.93 Tm.upf
CELL_PARAMETERS angstrom
5.136 0.000 0.000
0.000 5.136 0.000
0.000 0.000 5.136
ATOMIC_POSITIONS angstrom
Nd 0.000 0.000 2.568
Nd 0.000 2.568 0.000
Nd 2.568 0.000 0.000
Tm 2.568 2.568 2.568
```

Results
Its space-group type is No. 221. The value obtained for the mass density is 7.38 g/cm3.

--- two ---
Nd3Tm | PBE-GGA | optimized geometry Values from VASP.

Cell and atoms, written as Quantum ESPRESSO input:
```
&SYSTEM
  ibrav = 0, nat = 4, ntyp = 2
/
ATOMIC_SPECIES
Nd 144.24 Nd.upf
Tm 168.93 Tm.upf
CELL_PARAMETERS angstrom
0.000 4.086 4.086
4.086 0.000 4.086
4.086 4.086 0.000
ATOMIC_POSITIONS angstrom
Nd 0.000 0.000 0.000
Nd 2.043 2.043 2.043
Nd 6.130 6.130 6.130
Tm 4.086 4.086 4.086
```

Results
Its space-group type is No. 225. The value obtained for the mass density is 7.32 g/cm3.

Most stable structure - one; separation to the second - 116 meV/atom.

--- one ---
Nd3Tm | PBE-GGA | optimized geometry Values from VASP.

Cell and atoms, written as Quantum ESPRESSO input:
```
&SYSTEM
  ibrav = 0, nat = 4, ntyp = 2
/
ATOMIC_SPECIES
Nd 144.24 Nd.upf
Tm 168.93 Tm.upf
CELL_PARAMETERS angstrom
-2.575 2.575 5.114
2.575 -2.575 5.114
2.575 2.575 -5.114
ATOMIC_POSITIONS angstrom
Nd 0.000 0.000 0.000
Nd 2.575 0.000 2.557
Nd 0.000 2.575 2.557
Tm 0.000 0.000 5.114
```

Results
Its space-group type is No. 139. The value obtained for the mass density is 7.37 g/cm3.

--- two ---
Nd3Tm | PBE-GGA | optimized geometry Values from VASP.

Cell and atoms, written as Quantum ESPRESSO input:
```
&SYSTEM
  ibrav = 0, nat = 4, ntyp = 2
/
ATOMIC_SPECIES
Nd 144.24 Nd.upf
Tm 168.93 Tm.upf
CELL_PARAMETERS angstrom
3.677 0.000 0.000
0.000 5.869 0.000
0.000 0.000 6.341
ATOMIC_POSITIONS angstrom
Nd 0.000 0.000 0.000
Nd 0.000 2.934 2.120
Nd 1.839 2.934 5.291
Tm 1.839 0.000 3.181
```

Results
Its space-group type is No. 25. The value obtained for the mass density is 7.30 g/cm3.

--- three ---
Nd3Tm | PBE-GGA | optimized geometry Values from VASP.

Cell and atoms, written as Quantum ESPRESSO input:
```
&SYSTEM
  ibrav = 0, nat = 4, ntyp = 2
/
ATOMIC_SPECIES
Nd 144.24 Nd.upf
Tm 168.93 Tm.upf
CELL_PARAMETERS angstrom
-1.843 5.868 3.165
1.843 -5.868 3.165
1.843 5.868 -3.165
ATOMIC_POSITIONS angstrom
Nd 0.000 0.000 0.000
Nd 1.843 2.969 -1.049
Nd 0.000 2.899 2.116
Tm 0.000 5.868 0.012
```

Results
Its space-group type is No. 44. The value obtained for the mass density is 7.30 g/cm3.

Most stable structure - one; separation to the second - 12 meV/atom.

--- one ---
Nd5Tm2 | PBE-GGA | optimized geometry Values from VASP.

Cell and atoms, written as Quantum ESPRESSO input:
```
&SYSTEM
  ibrav = 0, nat = 7, ntyp = 2
/
ATOMIC_SPECIES
Nd 144.24 Nd.upf
Tm 168.93 Tm.upf
CELL_PARAMETERS angstrom
3.538 0.000 0.000
1.752 5.954 0.000
0.001 2.951 11.386
ATOMIC_POSITIONS angstrom
Nd 0.000 0.000 0.000
Nd 1.761 5.707 9.822
Nd 1.778 2.537 8.082
Nd 3.514 6.367 3.304
Nd 3.530 3.197 1.564
Tm 1.752 5.843 6.355
Tm 3.539 3.062 5.031
```

Results
Its space-group type is No. 2. The value obtained for the mass density is 7.33 g/cm3.

--- two ---
Nd5Tm2 | PBE-GGA | optimized geometry Values from VASP.

Cell and atoms, written as Quantum ESPRESSO input:
```
&SYSTEM
  ibrav = 0, nat = 14, ntyp = 2
/
ATOMIC_SPECIES
Nd 144.24 Nd.upf
Tm 168.93 Tm.upf
CELL_PARAMETERS angstrom
8.034 -3.179 0.000
8.034 3.179 0.000
-0.830 0.000 9.348
ATOMIC_POSITIONS angstrom
Nd 5.761 2.099 0.343
Nd 4.007 1.045 6.340
Nd 7.411 2.102 7.011
Nd 9.892 2.099 4.331
Nd 4.422 -1.045 1.666
Nd 10.815 1.045 7.682
Nd 5.345 -2.099 5.017
Nd 7.826 -2.102 2.337
Nd 11.230 -1.045 3.008
Nd 9.477 -2.099 9.005
Tm 6.581 1.044 3.672
Tm 9.072 1.044 1.002
Tm 6.166 -1.044 8.346
Tm 8.656 -1.044 5.676
```

Results
Its space-group type is No. 15. The value obtained for the mass density is 7.37 g/cm3.

Most stable structure - two; separation to the second - 85 meV/atom.

--- one ---
Nd7Tm2 | PBE-GGA | optimized geometry Values from VASP.

Cell and atoms, written as Quantum ESPRESSO input:
```
&SYSTEM
  ibrav = 0, nat = 9, ntyp = 2
/
ATOMIC_SPECIES
Nd 144.24 Nd.upf
Tm 168.93 Tm.upf
CELL_PARAMETERS angstrom
6.304 0.000 0.000
-3.152 5.459 0.000
0.000 0.000 8.911
ATOMIC_POSITIONS angstrom
Nd 0.000 0.000 0.000
Nd -1.054 1.825 5.977
Nd -2.098 3.634 2.934
Nd 2.108 0.000 5.977
Nd 1.054 1.825 2.934
Nd 4.196 0.000 2.934
Nd 2.098 3.634 5.977
Tm 0.000 3.640 0.000
Tm 3.152 1.820 0.000
```

Results
Its space-group type is No. 162. The value obtained for the mass density is 7.30 g/cm3.

--- two ---
Nd7Tm2 | PBE-GGA | optimized geometry Values from VASP.

Cell and atoms, written as Quantum ESPRESSO input:
```
&SYSTEM
  ibrav = 0, nat = 9, ntyp = 2
/
ATOMIC_SPECIES
Nd 144.24 Nd.upf
Tm 168.93 Tm.upf
CELL_PARAMETERS angstrom
9.966 0.000 0.000
-4.983 8.631 0.000
0.000 0.000 3.570
ATOMIC_POSITIONS angstrom
Nd 0.000 0.000 0.000
Nd -1.813 3.140 0.000
Nd -3.448 5.973 1.785
Nd 1.535 2.658 1.785
Nd 3.625 0.000 0.000
Nd 3.170 5.491 0.000
Nd 6.896 0.000 1.785
Tm 0.000 5.754 1.785
Tm 4.983 2.877 1.785
```

Results
Its space-group type is No. 189. The value obtained for the mass density is 7.29 g/cm3.

Most stable structure - one; separation to the second - 22 meV/atom.

--- one ---
Nd3Tm8 | PBE-GGA | optimized geometry Values from VASP.

Cell and atoms, written as Quantum ESPRESSO input:
```
&SYSTEM
  ibrav = 0, nat = 11, ntyp = 2
/
ATOMIC_SPECIES
Nd 144.24 Nd.upf
Tm 168.93 Tm.upf
CELL_PARAMETERS angstrom
1.745 1.007 33.223
-1.745 1.007 33.223
0.000 -2.015 33.223
ATOMIC_POSITIONS angstrom
Nd 0.000 0.000 0.000
Nd 0.000 0.000 27.043
Nd 0.000 0.000 72.628
Tm 0.000 0.000 3.377
Tm 0.000 0.000 18.043
Tm 0.000 0.000 23.616
Tm 0.000 0.000 45.584
Tm 0.000 0.000 54.087
Tm 0.000 0.000 76.055
Tm 0.000 0.000 81.627
Tm 0.000 0.000 96.293
```

Results
Its space-group type is No. 166. The value obtained for the mass density is 8.46 g/cm3.

--- two ---
Nd3Tm8 | PBE-GGA | optimized geometry Values from VASP.

Cell and atoms, written as Quantum ESPRESSO input:
```
&SYSTEM
  ibrav = 0, nat = 11, ntyp = 2
/
ATOMIC_SPECIES
Nd 144.24 Nd.upf
Tm 168.93 Tm.upf
CELL_PARAMETERS angstrom
5.151 2.974 4.013
-5.151 2.974 4.013
0.000 -5.948 4.013
ATOMIC_POSITIONS angstrom
Nd -2.576 -1.487 4.013
Nd -2.576 1.487 8.025
Nd 0.000 2.974 4.013
Tm -3.185 -3.030 6.684
Tm -4.217 1.244 5.354
Tm 1.031 -4.273 5.354
Tm 0.000 0.000 4.182
Tm 0.000 0.000 7.857
Tm -1.031 4.273 6.684
Tm 4.217 -1.244 6.684
Tm 3.185 3.030 5.354
```

Results
Its space-group type is No. 148. The value obtained for the mass density is 8.03 g/cm3.

Most stable structure - one; separation to the second - 468 meV/atom.

--- one ---
Nd2YTm8 | PBE-GGA | optimized geometry Values from VASP.

Cell and atoms, written as Quantum ESPRESSO input:
```
&SYSTEM
  ibrav = 0, nat = 11, ntyp = 3
/
ATOMIC_SPECIES
Nd 144.24 Nd.upf
Y 88.91 Y.upf
Tm 168.93 Tm.upf
CELL_PARAMETERS angstrom
4.519 -7.984 0.000
4.519 7.984 0.000
-3.255 0.000 4.865
ATOMIC_POSITIONS angstrom
Nd 4.519 4.903 0.000
Nd 4.519 -4.903 0.000
Y 2.891 0.000 2.433
Tm -0.364 0.000 1.436
Tm -0.099 1.868 4.005
Tm 2.891 3.310 2.433
Tm -0.099 -1.868 4.005
Tm 5.881 1.868 0.860
Tm 2.891 -3.310 2.433
Tm 5.881 -1.868 0.860
Tm 6.147 0.000 3.429
```

Results
Its space-group type is No. 12. The value obtained for the mass density is 8.18 g/cm3.

--- two ---
Nd2YTm8 | PBE-GGA | optimized geometry Values from VASP.

Cell and atoms, written as Quantum ESPRESSO input:
```
&SYSTEM
  ibrav = 0, nat = 11, ntyp = 3
/
ATOMIC_SPECIES
Nd 144.24 Nd.upf
Y 88.91 Y.upf
Tm 168.93 Tm.upf
CELL_PARAMETERS angstrom
8.220 -3.281 0.000
8.220 3.281 0.000
-1.153 0.000 6.505
ATOMIC_POSITIONS angstrom
Nd 3.668 0.000 2.030
Nd 11.621 0.000 4.476
Y 0.000 0.000 0.000
Tm 6.109 1.569 3.887
Tm 2.368 0.000 5.226
Tm 9.179 1.569 2.618
Tm 6.661 0.000 0.622
Tm 8.628 0.000 5.884
Tm 6.109 -1.569 3.887
Tm 12.921 0.000 1.280
Tm 9.179 -1.569 2.618
```

Results
Its space-group type is No. 12. The value obtained for the mass density is 8.18 g/cm3.

Most stable structure - one; separation to the second - 17 meV/atom.

--- one ---
Nd7YTm2 | PBE-GGA | optimized geometry Values from VASP.

Cell and atoms, written as Quantum ESPRESSO input:
```
&SYSTEM
  ibrav = 0, nat = 10, ntyp = 3
/
ATOMIC_SPECIES
Nd 144.24 Nd.upf
Y 88.91 Y.upf
Tm 168.93 Tm.upf
CELL_PARAMETERS angstrom
6.261 0.000 0.000
-1.039 6.213 0.000
-3.107 -2.668 8.695
ATOMIC_POSITIONS angstrom
Nd 0.000 0.000 0.000
Nd 0.012 3.181 1.724
Nd -1.027 -1.241 6.111
Nd 1.075 0.180 3.466
Nd 1.040 3.365 5.230
Nd 3.143 4.786 2.584
Nd 2.104 0.364 6.971
Y -2.073 1.772 4.348
Tm -1.017 1.949 7.842
Tm 3.132 1.596 0.853
```

Results
Its space-group type is No. 2. The value obtained for the mass density is 7.05 g/cm3.

--- two ---
Nd7YTm2 | PBE-GGA | optimized geometry Values from VASP.

Cell and atoms, written as Quantum ESPRESSO input:
```
&SYSTEM
  ibrav = 0, nat = 10, ntyp = 3
/
ATOMIC_SPECIES
Nd 144.24 Nd.upf
Y 88.91 Y.upf
Tm 168.93 Tm.upf
CELL_PARAMETERS angstrom
4.445 -8.207 0.000
4.445 8.207 0.000
0.000 0.000 5.699
ATOMIC_POSITIONS angstrom
Nd 0.000 0.000 0.000
Nd 2.851 1.873 0.000
Nd 4.445 3.636 2.850
Nd 2.851 -1.873 0.000
Nd 6.040 1.873 0.000
Nd 4.445 -3.636 2.850
Nd 6.040 -1.873 0.000
Y 4.445 0.000 2.850
Tm 4.445 4.838 0.000
Tm 4.445 -4.838 0.000
```

Results
Its space-group type is No. 65. The value obtained for the mass density is 5.74 g/cm3.

Most stable structure - one; separation to the second - 619 meV/atom.

--- one ---
Nd4YTm7 | PBE-GGA | optimized geometry Values from VASP.

Cell and atoms, written as Quantum ESPRESSO input:
```
&SYSTEM
  ibrav = 0, nat = 12, ntyp = 3
/
ATOMIC_SPECIES
Nd 144.24 Nd.upf
Y 88.91 Y.upf
Tm 168.93 Tm.upf
CELL_PARAMETERS angstrom
6.053 -2.934 0.000
6.053 2.934 0.000
-6.043 0.000 11.243
ATOMIC_POSITIONS angstrom
Nd 0.003 0.000 3.124
Nd -1.679 0.000 9.385
Nd 7.743 0.000 1.858
Nd 6.061 0.000 8.120
Y 3.032 0.000 5.622
Tm -3.021 0.000 5.622
Tm -4.406 0.000 11.179
Tm -0.005 0.000 6.481
Tm 4.083 0.000 2.119
Tm 1.981 0.000 9.124
Tm 6.069 0.000 4.762
Tm 10.470 0.000 0.064
```

Results
Its space-group type is No. 12. The value obtained for the mass density is 7.69 g/cm3.

--- two ---
Nd4YTm7 | PBE-GGA | optimized geometry Values from VASP.

Cell and atoms, written as Quantum ESPRESSO input:
```
&SYSTEM
  ibrav = 0, nat = 12, ntyp = 3
/
ATOMIC_SPECIES
Nd 144.24 Nd.upf
Y 88.91 Y.upf
Tm 168.93 Tm.upf
CELL_PARAMETERS angstrom
6.560 0.000 0.000
1.080 6.747 0.000
1.984 0.629 8.741
ATOMIC_POSITIONS angstrom
Nd 1.813 2.235 2.531
Nd 4.508 6.419 6.043
Nd 5.117 0.957 2.699
Nd 7.811 5.141 6.211
Y 3.820 3.373 0.000
Tm 2.249 2.304 8.331
Tm 2.749 5.577 3.085
Tm 3.720 3.062 5.422
Tm 3.280 0.000 0.000
Tm 5.904 4.314 3.320
Tm 6.876 1.799 5.657
Tm 7.376 5.072 0.410
```

Results
Its space-group type is No. 2. The value obtained for the mass density is 7.93 g/cm3.

Most stable structure - two; separation to the second - 185 meV/atom.

--- one ---
Nd3Y2Tm3 | PBE-GGA | optimized geometry Values from VASP.

Cell and atoms, written as Quantum ESPRESSO input:
```
&SYSTEM
  ibrav = 0, nat = 8, ntyp = 3
/
ATOMIC_SPECIES
Nd 144.24 Nd.upf
Y 88.91 Y.upf
Tm 168.93 Tm.upf
CELL_PARAMETERS angstrom
-2.520 2.541 10.158
2.520 -2.541 10.158
2.520 2.541 -10.158
ATOMIC_POSITIONS angstrom
Nd 0.000 0.000 0.000
Nd 2.520 0.000 7.646
Nd 0.000 2.541 2.512
Y 0.000 0.000 5.062
Y 0.000 0.000 15.254
Tm 2.520 0.000 2.549
Tm 0.000 0.000 10.158
Tm 0.000 2.541 7.609
```

Results
Its space-group type is No. 71. The value obtained for the mass density is 7.13 g/cm3.

--- two ---
Nd3Y2Tm3 | PBE-GGA | optimized geometry Values from VASP.

Cell and atoms, written as Quantum ESPRESSO input:
```
&SYSTEM
  ibrav = 0, nat = 8, ntyp = 3
/
ATOMIC_SPECIES
Nd 144.24 Nd.upf
Y 88.91 Y.upf
Tm 168.93 Tm.upf
CELL_PARAMETERS angstrom
-2.972 2.974 7.401
2.972 -2.974 7.401
2.972 2.974 -7.401
ATOMIC_POSITIONS angstrom
Nd 0.000 0.000 0.000
Nd 2.972 0.000 5.525
Nd 0.000 2.974 1.876
Y 0.000 0.000 3.728
Y 0.000 0.000 11.074
Tm 2.972 0.000 1.831
Tm 0.000 0.000 7.401
Tm 0.000 2.974 5.570
```

Results
Its space-group type is No. 71. The value obtained for the mass density is 7.09 g/cm3.

Most stable structure - one; separation to the second - 102 meV/atom.